VASP calculation (GGA-PBEsol) on an optimized crystal structure of LiMnPt2.

The value obtained for the total energy is -54.41 eV for the cell shown. The value obtained for the energy relative to the lowest polymorph listed for this composition is 4.4 meV/atom. The calculation puts the volume at 107.6 Å³ per cell. The size of the total moment comes out at 7.4 Bohr magnetons per cell. The energy of formation comes out at -388 meV per atom.

Lattice parameters (Å, degrees): 5.581 6.913 2.790 90.00 90.00 90.00
Space group Cmmm (No. 65)
Unique sites:
Li1 0.000 0.000 0.000 (multiplicity 2)
Mn1 0.000 0.500 0.000 (multiplicity 2)
Pt1 0.250 0.250 0.500 (multiplicity 4)



VASP calculation (GGA-PBEsol) on an optimized crystal structure of Li2Fe3F8.

The value obtained for the total energy is -74.60 eV for the cell shown. The calculation puts the formation energy from raw total energies at -28.35 eV/f.u. The value obtained for the energy relative to the lowest polymorph listed for this composition is 0.0 meV/atom. The calculation puts the volume at 141.5 Å³ per cell. The size of the total moment comes out at 12.0 Bohr magnetons per cell.

Lattice parameters (Å, degrees): 5.023 5.569 5.840 74.45 85.62 64.20
Space group P-1 (No. 2)
Unique sites:
Li1 0.067 0.397 0.277 (multiplicity 2)
Fe1 0.223 0.987 0.889 (multiplicity 2)
Fe2 0.500 0.500 0.500 (multiplicity 1)
F1 0.214 0.704 0.198 (multiplicity 2)
F2 0.215 0.751 0.688 (multiplicity 2)
F3 0.264 0.277 0.585 (multiplicity 2)
F4 0.308 0.218 0.062 (multiplicity 2)